This record from the Alexandria database describes a geometry-optimized SbSeN2 structure. The functional is PBE.

Lattice parameters (Å, degrees): 3.2568 3.2568 19.5689 90.00 90.00 120.00
Space group R-3m (No. 166, hexagonal axes)
Symmetry-distinct sites (fractional):
Sb: 0.0000 0.0000 0.0000
Se: 0.0000 0.0000 0.5000
N: 0.0000 0.0000 0.3901

## Properties
**Magnetization**: 0.00 μB/f.u.
**Formation energy from raw total energies**: 673 meV per atom
**Energy**: -5.392 eV per atom
**Calculated volume**: 179.8 Å³ per cell
**Offset from the most stable computed form**: 0 meV/atom